A plane-wave DFT calculation with PBE was carried out for AgSb2Te2 after structural relaxation.

a = 8.3311 Å, b = 8.3311 Å, c = 4.2768 Å
α = 90.00°, β = 90.00°, γ = 90.00°
With the nearest neighbours (Å) after each atom.
Sites, in units of the cell vectors:
Ag (0.0000, 0.0000, 0.0000)  4 Sb 3.05
Ag (0.5000, 0.5000, 0.0000)  4 Sb 3.05
Sb (0.1828, 0.3172, 0.0000)  2 Te 2.92, 2 Ag 3.05
Sb (0.3172, 0.8172, 0.0000)  2 Te 2.92, 2 Ag 3.05
Sb (0.6828, 0.1828, 0.0000)  2 Te 2.92, 2 Ag 3.05
Sb (0.8172, 0.6828, 0.0000)  2 Te 2.92, 2 Ag 3.05
Te (0.1490, 0.6490, 0.5000)  2 Sb 2.92
Te (0.3510, 0.1490, 0.5000)  2 Sb 2.92
Te (0.6490, 0.8510, 0.5000)  2 Sb 2.92
Te (0.8510, 0.3510, 0.5000)  2 Sb 2.92

Summary:
Total magnetic moment, μB per formula unit: 0.0
VASP energy, eV for the cell shown: -33.14
Space-group type: No. 127
E_form (uncorrected), eV/f.u.: 0.8
DOS(E_F), states/eV/f.u.: 1.58


A plane-wave DFT calculation with PBE was carried out for AcU2Se6 after structural relaxation.

a = 7.5791 Å, b = 7.5791 Å, c = 9.6423 Å
α = 123.20°, β = 123.20°, γ = 42.26°
With the nearest neighbours (Å) after each atom.
Sites, in units of the cell vectors:
Ac (0.0000, 0.0000, 0.0000)  8 Se 3.13-3.44
U (0.1800, 0.1800, 0.5981)  6 Se 2.66-2.90
U (0.8200, 0.8200, 0.4019)  6 Se 2.66-2.90
Se (0.0384, 0.0384, 0.7116)  2 U 2.76-2.79
Se (0.2680, 0.2680, 0.3919)  3 U 2.82-2.90
Se (0.3578, 0.3578, 0.9286)  1 U 2.66
Se (0.6422, 0.6422, 0.0714)  1 U 2.66
Se (0.7320, 0.7320, 0.6081)  3 U 2.82-2.90
Se (0.9616, 0.9616, 0.2884)  2 U 2.76-2.79

Summary:
Total magnetic moment, μB per formula unit: 3.0
VASP energy, eV for the cell shown: -59.13
Space-group type: No. 12
E_form (uncorrected), eV/f.u.: -11.5
DOS(E_F), states/eV/f.u.: 8.66


A plane-wave DFT calculation with PBE was carried out for Sm6As2S3I after structural relaxation.

a = 9.2875 Å, b = 9.2875 Å, c = 8.3750 Å
α = 102.80°, β = 102.80°, γ = 25.72°
With the nearest neighbours (Å) after each atom.
Sites, in units of the cell vectors:
Sm (0.9998, 0.9998, 0.2113)  3 S 2.72-2.86, 1 As 2.94
Sm (0.0002, 0.0002, 0.7887)  3 S 2.72-2.86, 1 As 2.94
Sm (0.3178, 0.3178, 0.4104)  3 S 2.77-2.95, 2 As 2.95
Sm (0.3336, 0.3336, 0.9152)  3 S 2.93-2.95, 3 As 2.96-2.97
Sm (0.6664, 0.6664, 0.0848)  3 S 2.93-2.95, 3 As 2.96-2.97
Sm (0.6822, 0.6822, 0.5896)  3 S 2.77-2.95, 2 As 2.95
As (0.1657, 0.1657, 0.8300)  6 Sm 2.94-2.97
As (0.8343, 0.8343, 0.1700)  6 Sm 2.94-2.97
S (0.1608, 0.1608, 0.3324)  6 Sm 2.77-2.95
S (0.5000, 0.5000, 0.0000)  6 Sm 2.72-2.93
S (0.8392, 0.8392, 0.6676)  6 Sm 2.77-2.95
I (0.5000, 0.5000, 0.5000)  6 Sm 3.18-3.21

Summary:
Total magnetic moment, μB per formula unit: 0.0
VASP energy, eV for the cell shown: -71.47
Space-group type: No. 12
E_form (uncorrected), eV/f.u.: -19.9
DOS(E_F), states/eV/f.u.: 5.15